[1]
## MgHgSb2 (GGA-PBE)

Data for crystalline MgHgSb2 at its relaxed geometry.

```
4
Lattice="3.779 0.000 0.000 0.000 3.779 0.000 0.000 0.000 7.073" Properties=species:S:1:pos:R:3 pbc="T T T"
Hg 0.000 0.000 3.688
Mg 1.890 1.890 5.259
Sb 0.000 0.000 7.033
Sb 1.890 1.890 1.704
```

Results
Relative energy among the computed polymorphs, meV per atom: 70.8
Energy relative to the elements, uncorrected, kcal/mol of atoms: 0.66
VASP energy, eV per cell: -10.0
SG: P4mm
Volume, Å³/atom: 25.25

***

[2]
## RbPr4Se6 (GGA-PBE)

Data for crystalline RbPr4Se6 at its relaxed geometry.

```
22
Lattice="4.306 0.000 0.000 -2.153 7.174 0.000 0.000 0.000 22.681" Properties=species:S:1:pos:R:3 pbc="T T T"
Rb 2.153 2.189 5.670
Rb 0.000 4.985 17.011
Pr 2.153 5.286 12.289
Pr 0.000 5.738 3.021
Pr 0.000 1.888 10.392
Pr 2.153 1.436 19.660
Pr 2.153 5.286 21.733
Pr 0.000 1.888 0.948
Pr 2.153 1.436 14.362
Pr 0.000 5.738 8.319
Se 2.153 0.000 0.000
Se 2.153 0.000 11.341
Se 0.000 0.506 7.861
Se 2.153 6.668 14.820
Se 2.153 6.668 19.202
Se 0.000 0.506 3.480
Se 2.153 3.892 9.536
Se 0.000 3.282 13.146
Se 0.000 3.282 20.876
Se 2.153 3.892 1.805
Se 0.000 4.811 5.670
Se 2.153 2.363 17.011
```

Results
Relative energy among the computed polymorphs, meV per atom: 0.0
Energy relative to the elements, uncorrected, kcal/mol of atoms: -41.06
VASP energy, eV per cell: -121.2
SG: Cmcm
Volume, Å³/atom: 31.85

***

[3]
## HfThBiTe (GGA-PBE)

Data for crystalline HfThBiTe at its relaxed geometry.

```
4
Lattice="-3.852 -0.441 -3.629 -0.092 -4.175 -3.282 -3.748 -3.724 0.544" Properties=species:S:1:pos:R:3 pbc="T T T"
Te -1.923 -2.085 -1.592
Hf 0.000 0.000 0.000
Bi -5.769 -6.255 -4.775
Th -3.846 -4.170 -3.183
```

Results
Energy relative to the elements, uncorrected, kcal/mol of atoms: -11.39
VASP energy, eV per cell: -26.4
SG: F-43m
Volume, Å³/atom: 26.48